Nd5Dy12Ho2 (PBE, optimized geometry); crystal system = triclinic; space group = P-1, No. 2; ΔH_f (0 K) = 0.019 eV/atom; total magnetization = 0.00 μB/f.u.; VASP energy = -87.9 eV/cell
1.0
5.9816 1.5839 -0.1814
-1.3791 8.5529 -6.3360
-0.2264 -1.7841 12.7583
Nd Dy Ho
5 12 2
Cartesian
0.7962 3.4842 4.0024
-0.0290 5.8745 -2.6935
-0.1132 -0.8921 6.3791
4.4051 2.4782 8.9344
3.5799 4.8685 2.2385
5.4487 1.8796 2.8343
-0.6741 5.2880 6.7264
2.7470 7.2730 -4.4576
0.3878 4.6627 0.6501
3.1592 6.0612 -1.1051
1.7014 7.8533 1.6349
2.6747 0.4995 4.6060
3.9883 3.6900 5.5908
1.2168 2.2916 7.3460
5.0501 3.0647 -0.4855
1.6291 1.0797 10.6985
-1.0726 6.4731 3.4066
2.1197 6.6813 4.9819
2.2563 1.6714 1.2590